Entry 1:
# MnCuGe

MnCuGe after structural relaxation (PBE-GGA, Alexandria).

Structure (POSCAR):
```
MnCuGe
1.0
0.000 2.876 2.876
2.876 0.000 2.876
2.876 2.876 0.000
Mn Cu Ge
1 1 1
direct
0.000 0.000 0.000
0.250 0.250 0.250
0.500 0.500 0.500
```

Computed properties:
Fermi-level density of states, states/eV/cell: 1.174
VASP energy, eV per cell: -17.61

Entry 2:
# MnCuGe

MnCuGe after structural relaxation (PBE-GGA, Alexandria).

Structure (POSCAR):
```
MnCuGe
1.0
-1.642 1.642 3.941
1.642 -1.642 3.941
1.642 1.642 -3.941
Mn Cu Ge
1 1 1
direct
0.000 0.000 0.000
0.338 0.338 0.000
0.668 0.668 0.000
```

Computed properties:
Fermi-level density of states, states/eV/cell: 2.386
VASP energy, eV per cell: -17.40

Entry 3:
# Mn2CuGe

Mn2CuGe after structural relaxation (PBE-GGA, Alexandria).

Structure (POSCAR):
```
Mn2CuGe
1.0
0.000 2.965 2.965
2.965 0.000 2.965
2.965 2.965 0.000
Mn Cu Ge
2 1 1
direct
0.000 0.000 0.000
0.250 0.250 0.250
0.500 0.500 0.500
0.750 0.750 0.750
```

Computed properties:
Fermi-level density of states, states/eV/cell: 1.638
VASP energy, eV per cell: -26.95

Entry 4:
# Mn2CuGe

Mn2CuGe after structural relaxation (PBE-GGA, Alexandria).

Structure (POSCAR):
```
Mn2CuGe
1.0
3.748 0.000 0.000
0.000 3.748 0.000
0.000 0.000 3.651
Mn Cu Ge
2 1 1
direct
0.000 0.500 0.000
0.500 0.000 0.000
0.000 0.000 0.500
0.500 0.500 0.500
```

Computed properties:
Fermi-level density of states, states/eV/cell: 2.638
VASP energy, eV per cell: -27.09

Entry 5:
# MnCuGe

MnCuGe after structural relaxation (PBE-GGA, Alexandria).

Structure (POSCAR):
```
MnCuGe
1.0
4.137 0.000 0.000
-2.069 3.583 0.000
0.000 0.000 2.824
Mn Cu Ge
1 1 1
direct
0.000 0.000 0.000
0.667 0.333 0.498
0.333 0.667 0.503
```

Computed properties:
Fermi-level density of states, states/eV/cell: 1.282
VASP energy, eV per cell: -17.80

Entry 6:
# MnCuGe2

MnCuGe2 after structural relaxation (PBE-GGA, Alexandria).

Structure (POSCAR):
```
MnCuGe2
1.0
1.442 0.832 8.088
-1.442 0.832 8.088
0.000 -1.665 8.088
Mn Cu Ge
1 1 2
direct
0.000 0.000 0.000
0.164 0.164 0.164
0.414 0.414 0.414
0.585 0.585 0.585
```

Computed properties:
Fermi-level density of states, states/eV/cell: 3.112
VASP energy, eV per cell: -21.91

Number 1: energy of formation from the pure elements 92 meV/atom. Number 2: energy of formation from the pure elements 162 meV/atom. Number 3: energy of formation from the pure elements 25 meV/atom. Number 4: energy of formation from the pure elements -10 meV/atom. Number 5: energy of formation from the pure elements 29 meV/atom. Number 6: energy of formation from the pure elements 147 meV/atom.